Material: TlCd2BiPt
Method: DFT, PBE
State: relaxed

Computed properties:
SG: P4/mmm (123)
formation enthalpy at 0 K: -0.002 eV/atom

Cell: 5.2831 5.2831 5.3612 Å, 90.00 90.00 90.00°
Last column: nearest neighbours and their distance in Å.
Atoms (fractional coordinates):
Tl 0.5000 0.5000 0.5000  4 Bi 3.74, 8 Cd 3.76
Bi 0.0000 0.0000 0.5000  2 Pt 2.68
Pt 0.0000 0.0000 0.0000  4 Cd 2.64, 2 Bi 2.68
Cd 0.0000 0.5000 0.0000  2 Pt 2.64
Cd 0.5000 0.0000 0.0000  2 Pt 2.64